Below is PbWNF2 after structural relaxation, with properties calculated at the PBE+U level.

The structure in POSCAR format:
```
PbWNF2
1.0
4.355 0.000 0.000
0.000 4.355 0.000
0.000 0.000 4.143
Pb N W F
1 1 1 2
Cartesian
2.178 2.178 2.072
0.000 0.000 2.072
0.000 0.000 0.000
0.000 2.178 0.000
2.178 0.000 0.000
```

Values from the calculation:
Relative energy among the computed polymorphs, meV per atom: 0
Final energy, eV per atom: -5.532
Total magnetization, μB/f.u.: 2.42